Entry 1:
A crystal of ZnINF2 relaxed with PBEsol. Source: Alexandria, functional SCAN.

Results
* SG: P4/mmm (123)
* formation energy (no corrections): -0.424 eV/atom
* N(E_F): 2.08 states/eV/cell

Lattice parameters (Å, degrees): 3.684 3.684 5.510 90.00 90.00 90.00
Atoms (fractional coordinates):
Zn: 0.000 0.000 0.000
I: 0.500 0.500 0.500
N: 0.000 0.000 0.500
F: 0.000 0.500 0.000
F: 0.500 0.000 0.000

=====

Entry 2:
A crystal of Re3SbMo relaxed with PBEsol. Source: Alexandria, functional SCAN.

Results
* SG: Pm-3m (221)
* formation energy (no corrections): 2.206 eV/atom
* N(E_F): 3.90 states/eV/cell

Lattice parameters (Å, degrees): 4.677 4.677 4.677 90.00 90.00 90.00
Atoms (fractional coordinates):
Re: 0.000 0.000 0.500
Re: 0.000 0.500 0.000
Re: 0.500 0.000 0.000
Sb: 0.500 0.500 0.500
Mo: 0.000 0.000 0.000

=====

Entry 3:
A crystal of Li2Cu2F5 relaxed with PBEsol. Source: Alexandria, functional SCAN.

Results
* SG: C2/c (15)
* formation energy (no corrections): -2.162 eV/atom
* N(E_F): 4.77 states/eV/cell
* energy above the most stable polymorph in this dataset: 6.0 kJ/mol of atoms

Lattice parameters (Å, degrees): 5.487 5.487 7.197 103.43 103.43 93.75
Atoms (fractional coordinates):
Li: 0.223 0.767 0.979
Li: 0.233 0.777 0.521
Li: 0.767 0.223 0.479
Li: 0.777 0.233 0.021
Cu: 0.296 0.319 0.117
Cu: 0.319 0.296 0.617
Cu: 0.681 0.704 0.383
Cu: 0.704 0.681 0.883
F: 0.000 0.000 0.000
F: 0.000 0.000 0.500
F: 0.000 0.500 0.000
F: 0.226 0.428 0.378
F: 0.330 0.670 0.750
F: 0.428 0.226 0.878
F: 0.500 0.000 0.500
F: 0.572 0.774 0.122
F: 0.670 0.330 0.250
F: 0.774 0.572 0.622